# 1
Entry from Alexandria: a geometry-optimized Tb6Y2TmMg structure (PBE).

- DFT formation energy (meV/atom) = 109
- volume (Å³/cell) = 630
- theoretical density (g/cm³) = 6.98

```
data_Tb6Y2TmMg
_symmetry_space_group_name_H-M 'P 1'
_symmetry_Int_Tables_number 1
_cell_length_a 10.923
_cell_length_b 10.923
_cell_length_c 6.603
_cell_angle_alpha 94.54
_cell_angle_beta 94.54
_cell_angle_gamma 125.70
loop_
_symmetry_equiv_pos_as_xyz
'x,y,z'
loop_
_atom_site_label
_atom_site_type_symbol
_atom_site_fract_x
_atom_site_fract_y
_atom_site_fract_z
Tb1 Tb 0.082 0.564 0.280
Tb2 Tb 0.084 0.794 0.967
Tb3 Tb 0.206 0.916 0.533
Tb4 Tb 0.297 0.469 0.024
Tb5 Tb 0.436 0.918 0.220
Tb6 Tb 0.469 0.297 0.524
Tb7 Tb 0.531 0.703 0.476
Tb8 Tb 0.564 0.082 0.780
Tb9 Tb 0.703 0.531 0.976
Tb10 Tb 0.794 0.084 0.467
Tb11 Tb 0.916 0.206 0.033
Tb12 Tb 0.918 0.436 0.720
Y1 Y 0.181 0.347 0.508
Y2 Y 0.347 0.181 0.008
Y3 Y 0.653 0.819 0.992
Y4 Y 0.819 0.653 0.492
Tm1 Tm 0.008 0.992 0.250
Tm2 Tm 0.992 0.008 0.750
Mg1 Mg 0.295 0.705 0.750
Mg2 Mg 0.705 0.295 0.250
```

# 2
Entry from Alexandria: a geometry-optimized TbY4Tm2Mg structure (PBE).

- DFT formation energy (meV/atom) = 22
- volume (Å³/cell) = 245
- theoretical density (g/cm³) = 5.94

```
data_TbY4Tm2Mg
_symmetry_space_group_name_H-M 'P 1'
_symmetry_Int_Tables_number 1
_cell_length_a 4.971
_cell_length_b 4.971
_cell_length_c 9.919
_cell_angle_alpha 90.00
_cell_angle_beta 90.00
_cell_angle_gamma 90.00
loop_
_symmetry_equiv_pos_as_xyz
'x,y,z'
loop_
_atom_site_label
_atom_site_type_symbol
_atom_site_fract_x
_atom_site_fract_y
_atom_site_fract_z
Tb1 Tb 0.000 0.000 0.000
Y1 Y 0.000 0.500 0.253
Y2 Y 0.000 0.500 0.747
Y3 Y 0.500 0.000 0.253
Y4 Y 0.500 0.000 0.747
Tm1 Tm 0.000 0.000 0.500
Tm2 Tm 0.500 0.500 0.000
Mg1 Mg 0.500 0.500 0.500
```

# 3
Entry from Alexandria: a geometry-optimized Tb2YTm2Mg5 structure (PBE).

- DFT formation energy (meV/atom) = 59
- volume (Å³/cell) = 560
- theoretical density (g/cm³) = 5.14

```
data_Tb2YTm2Mg5
_symmetry_space_group_name_H-M 'P 1'
_symmetry_Int_Tables_number 1
_cell_length_a 10.537
_cell_length_b 10.537
_cell_length_c 5.045
_cell_angle_alpha 90.00
_cell_angle_beta 90.00
_cell_angle_gamma 90.00
loop_
_symmetry_equiv_pos_as_xyz
'x,y,z'
loop_
_atom_site_label
_atom_site_type_symbol
_atom_site_fract_x
_atom_site_fract_y
_atom_site_fract_z
Tb1 Tb 0.178 0.322 0.000
Tb2 Tb 0.322 0.822 0.000
Tb3 Tb 0.678 0.178 0.000
Tb4 Tb 0.822 0.678 0.000
Y1 Y 0.000 0.000 0.000
Y2 Y 0.500 0.500 0.000
Tm1 Tm 0.118 0.618 0.000
Tm2 Tm 0.382 0.118 0.000
Tm3 Tm 0.618 0.882 0.000
Tm4 Tm 0.882 0.382 0.000
Mg1 Mg 0.000 0.500 0.500
Mg2 Mg 0.074 0.802 0.500
Mg3 Mg 0.198 0.074 0.500
Mg4 Mg 0.302 0.574 0.500
Mg5 Mg 0.426 0.302 0.500
Mg6 Mg 0.500 0.000 0.500
Mg7 Mg 0.574 0.698 0.500
Mg8 Mg 0.698 0.426 0.500
Mg9 Mg 0.802 0.926 0.500
Mg10 Mg 0.926 0.198 0.500
```

# 4
Entry from Alexandria: a geometry-optimized Tb4Y2TmMg structure (PBE).

- DFT formation energy (meV/atom) = 21
- volume (Å³/cell) = 246
- theoretical density (g/cm³) = 6.79

```
data_Tb4Y2TmMg
_symmetry_space_group_name_H-M 'P 1'
_symmetry_Int_Tables_number 1
_cell_length_a 4.966
_cell_length_b 4.966
_cell_length_c 9.985
_cell_angle_alpha 90.00
_cell_angle_beta 90.00
_cell_angle_gamma 90.00
loop_
_symmetry_equiv_pos_as_xyz
'x,y,z'
loop_
_atom_site_label
_atom_site_type_symbol
_atom_site_fract_x
_atom_site_fract_y
_atom_site_fract_z
Tb1 Tb 0.000 0.500 0.249
Tb2 Tb 0.000 0.500 0.751
Tb3 Tb 0.500 0.000 0.249
Tb4 Tb 0.500 0.000 0.751
Y1 Y 0.000 0.000 0.000
Y2 Y 0.500 0.500 0.500
Tm1 Tm 0.000 0.000 0.500
Mg1 Mg 0.500 0.500 0.000
```

# 5
Entry from Alexandria: a geometry-optimized Tb2YTm5Mg structure (PBE).

- DFT formation energy (meV/atom) = 110
- volume (Å³/cell) = 553
- theoretical density (g/cm³) = 7.66

```
data_Tb2YTm5Mg
_symmetry_space_group_name_H-M 'P 1'
_symmetry_Int_Tables_number 1
_cell_length_a 10.253
_cell_length_b 10.253
_cell_length_c 10.402
_cell_angle_alpha 90.00
_cell_angle_beta 90.00
_cell_angle_gamma 149.63
loop_
_symmetry_equiv_pos_as_xyz
'x,y,z'
loop_
_atom_site_label
_atom_site_type_symbol
_atom_site_fract_x
_atom_site_fract_y
_atom_site_fract_z
Tb1 Tb 0.115 0.885 0.500
Tb2 Tb 0.115 0.885 0.921
Tb3 Tb 0.885 0.115 0.000
Tb4 Tb 0.885 0.115 0.421
Y1 Y 0.206 0.794 0.210
Y2 Y 0.794 0.206 0.710
Tm1 Tm 0.014 0.986 0.210
Tm2 Tm 0.291 0.709 0.508
Tm3 Tm 0.291 0.709 0.913
Tm4 Tm 0.384 0.616 0.210
Tm5 Tm 0.500 0.500 0.460
Tm6 Tm 0.500 0.500 0.960
Tm7 Tm 0.616 0.384 0.710
Tm8 Tm 0.709 0.291 0.008
Tm9 Tm 0.709 0.291 0.413
Tm10 Tm 0.986 0.014 0.710
Mg1 Mg 0.406 0.594 0.709
Mg2 Mg 0.594 0.406 0.209
```

# 6
Entry from Alexandria: a geometry-optimized Tb2Y6Tm3Mg structure (PBE).

- DFT formation energy (meV/atom) = 33
- volume (Å³/cell) = 372
- theoretical density (g/cm³) = 6.17

```
data_Tb2Y6Tm3Mg
_symmetry_space_group_name_H-M 'P 1'
_symmetry_Int_Tables_number 1
_cell_length_a 6.115
_cell_length_b 6.115
_cell_length_c 11.676
_cell_angle_alpha 95.05
_cell_angle_beta 95.05
_cell_angle_gamma 120.04
loop_
_symmetry_equiv_pos_as_xyz
'x,y,z'
loop_
_atom_site_label
_atom_site_type_symbol
_atom_site_fract_x
_atom_site_fract_y
_atom_site_fract_z
Tb1 Tb 0.166 0.834 0.000
Tb2 Tb 0.834 0.166 0.000
Y1 Y 0.085 0.417 0.750
Y2 Y 0.250 0.250 0.251
Y3 Y 0.417 0.085 0.750
Y4 Y 0.583 0.915 0.250
Y5 Y 0.750 0.750 0.749
Y6 Y 0.915 0.583 0.250
Tm1 Tm 0.000 0.000 0.500
Tm2 Tm 0.334 0.666 0.500
Tm3 Tm 0.666 0.334 0.500
Mg1 Mg 0.500 0.500 0.000
```

# 7
Entry from Alexandria: a geometry-optimized Tb2YTm2Mg2 structure (PBE).

- DFT formation energy (meV/atom) = -29
- volume (Å³/cell) = 203
- theoretical density (g/cm³) = 6.50

```
data_Tb2YTm2Mg2
_symmetry_space_group_name_H-M 'P 1'
_symmetry_Int_Tables_number 1
_cell_length_a 8.564
_cell_length_b 8.564
_cell_length_c 8.564
_cell_angle_alpha 36.89
_cell_angle_beta 36.89
_cell_angle_gamma 36.89
loop_
_symmetry_equiv_pos_as_xyz
'x,y,z'
loop_
_atom_site_label
_atom_site_type_symbol
_atom_site_fract_x
_atom_site_fract_y
_atom_site_fract_z
Tb1 Tb 0.073 0.073 0.073
Tb2 Tb 0.927 0.927 0.927
Y1 Y 0.500 0.500 0.500
Tm1 Tm 0.345 0.345 0.345
Tm2 Tm 0.655 0.655 0.655
Mg1 Mg 0.211 0.211 0.211
Mg2 Mg 0.789 0.789 0.789
```

# 8
Entry from Alexandria: a geometry-optimized Tb2Y4TmMg structure (PBE).

- DFT formation energy (meV/atom) = 25
- volume (Å³/cell) = 247
- theoretical density (g/cm³) = 5.82

```
data_Tb2Y4TmMg
_symmetry_space_group_name_H-M 'P 1'
_symmetry_Int_Tables_number 1
_cell_length_a 4.982
_cell_length_b 4.973
_cell_length_c 9.984
_cell_angle_alpha 90.00
_cell_angle_beta 90.08
_cell_angle_gamma 90.00
loop_
_symmetry_equiv_pos_as_xyz
'x,y,z'
loop_
_atom_site_label
_atom_site_type_symbol
_atom_site_fract_x
_atom_site_fract_y
_atom_site_fract_z
Tb1 Tb 0.000 0.000 0.000
Tb2 Tb 0.500 0.500 0.500
Y1 Y 0.000 0.500 0.251
Y2 Y 0.000 0.500 0.749
Y3 Y 0.499 0.000 0.251
Y4 Y 0.501 0.000 0.749
Tm1 Tm 0.500 0.500 0.000
Mg1 Mg 0.000 0.000 0.500
```

# 9
Entry from Alexandria: a geometry-optimized TbTmMgZn structure (PBE).

- DFT formation energy (meV/atom) = -206
- volume (Å³/cell) = 99
- theoretical density (g/cm³) = 6.99

```
data_TbTmMgZn
_symmetry_space_group_name_H-M 'P 1'
_symmetry_Int_Tables_number 1
_cell_length_a 3.554
_cell_length_b 3.554
_cell_length_c 7.857
_cell_angle_alpha 90.00
_cell_angle_beta 90.00
_cell_angle_gamma 90.00
loop_
_symmetry_equiv_pos_as_xyz
'x,y,z'
loop_
_atom_site_label
_atom_site_type_symbol
_atom_site_fract_x
_atom_site_fract_y
_atom_site_fract_z
Tb1 Tb 0.000 0.000 0.000
Tm1 Tm 0.000 0.000 0.443
Mg1 Mg 0.500 0.500 0.716
Zn1 Zn 0.500 0.500 0.231
```

# 10
Entry from Alexandria: a geometry-optimized TbTmMgZn structure (PBE).

- DFT formation energy (meV/atom) = -174
- volume (Å³/cell) = 391
- theoretical density (g/cm³) = 7.09

```
data_TbTmMgZn
_symmetry_space_group_name_H-M 'P 1'
_symmetry_Int_Tables_number 1
_cell_length_a 7.313
_cell_length_b 7.313
_cell_length_c 7.313
_cell_angle_alpha 90.00
_cell_angle_beta 90.00
_cell_angle_gamma 90.00
loop_
_symmetry_equiv_pos_as_xyz
'x,y,z'
loop_
_atom_site_label
_atom_site_type_symbol
_atom_site_fract_x
_atom_site_fract_y
_atom_site_fract_z
Tb1 Tb 0.000 0.000 0.000
Tb2 Tb 0.000 0.500 0.500
Tb3 Tb 0.500 0.000 0.500
Tb4 Tb 0.500 0.500 0.000
Tm1 Tm 0.000 0.000 0.500
Tm2 Tm 0.000 0.500 0.000
Tm3 Tm 0.500 0.000 0.000
Tm4 Tm 0.500 0.500 0.500
Mg1 Mg 0.250 0.250 0.250
Mg2 Mg 0.250 0.750 0.750
Mg3 Mg 0.750 0.250 0.750
Mg4 Mg 0.750 0.750 0.250
Zn1 Zn 0.250 0.250 0.750
Zn2 Zn 0.250 0.750 0.250
Zn3 Zn 0.750 0.250 0.250
Zn4 Zn 0.750 0.750 0.750
```

# 11
Entry from Alexandria: a geometry-optimized Tb6Y8Mg structure (PBE).

- DFT formation energy (meV/atom) = 137
- volume (Å³/cell) = 484
- theoretical density (g/cm³) = 5.79

```
data_Tb6Y8Mg
_symmetry_space_group_name_H-M 'P 1'
_symmetry_Int_Tables_number 1
_cell_length_a 9.496
_cell_length_b 9.496
_cell_length_c 6.202
_cell_angle_alpha 90.00
_cell_angle_beta 90.00
_cell_angle_gamma 120.00
loop_
_symmetry_equiv_pos_as_xyz
'x,y,z'
loop_
_atom_site_label
_atom_site_type_symbol
_atom_site_fract_x
_atom_site_fract_y
_atom_site_fract_z
Tb1 Tb 0.091 0.636 0.310
Tb2 Tb 0.364 0.456 0.310
Tb3 Tb 0.456 0.091 0.690
Tb4 Tb 0.544 0.909 0.310
Tb5 Tb 0.636 0.544 0.690
Tb6 Tb 0.909 0.364 0.690
Y1 Y 0.038 0.771 0.807
Y2 Y 0.229 0.266 0.807
Y3 Y 0.266 0.038 0.193
Y4 Y 0.333 0.667 0.813
Y5 Y 0.667 0.333 0.187
Y6 Y 0.734 0.962 0.807
Y7 Y 0.771 0.734 0.193
Y8 Y 0.962 0.229 0.193
Mg1 Mg 0.000 0.000 0.500
```

# 12
Entry from Alexandria: a geometry-optimized TbYMg5 structure (PBE).

- DFT formation energy (meV/atom) = 97
- volume (Å³/cell) = 383
- theoretical density (g/cm³) = 3.20

```
data_TbYMg5
_symmetry_space_group_name_H-M 'P 1'
_symmetry_Int_Tables_number 1
_cell_length_a 6.412
_cell_length_b 9.674
_cell_length_c 6.559
_cell_angle_alpha 90.00
_cell_angle_beta 109.82
_cell_angle_gamma 90.00
loop_
_symmetry_equiv_pos_as_xyz
'x,y,z'
loop_
_atom_site_label
_atom_site_type_symbol
_atom_site_fract_x
_atom_site_fract_y
_atom_site_fract_z
Tb1 Tb 0.000 0.000 0.000
Tb2 Tb 0.500 0.500 0.000
Y1 Y 0.000 0.500 0.500
Y2 Y 0.500 0.000 0.500
Mg1 Mg 0.000 0.500 0.000
Mg2 Mg 0.205 0.212 0.724
Mg3 Mg 0.205 0.788 0.724
Mg4 Mg 0.295 0.288 0.276
Mg5 Mg 0.295 0.712 0.276
Mg6 Mg 0.500 0.000 0.000
Mg7 Mg 0.705 0.288 0.724
Mg8 Mg 0.705 0.712 0.724
Mg9 Mg 0.795 0.212 0.276
Mg10 Mg 0.795 0.788 0.276
```